Below is CaPb3 after structural relaxation, with properties calculated at the PBE level.

The calculation puts the calculated total energy at -3.47 eV/atom. The calculated volume is 31.23 A^3/atom. The energy of formation comes out at -185 meV per atom.

It has space group P4/mmm (No. 123), with a = 3.613 Å, b = 3.613 Å, c = 9.569 Å, α = 90.00°, β = 90.00° and γ = 90.00°. The inequivalent atoms are Ca at (0.000, 0.000, 0.000), Pb at (0.000, 0.000, 0.500) and Pb at (0.500, 0.500, 0.248).